<A>
The following is a PBE calculation of a geometry-optimized CaMg4Rh structure, from Alexandria via LeMat-Bulk.

a b c (Å): 5.6837 5.6837 5.6837
angles (deg): 60.00 60.00 60.00
Fractional positions:
Ca: 0.0000 0.0000 0.0000
Mg: 0.1287 0.6238 0.6238
Mg: 0.6238 0.1287 0.6238
Mg: 0.6238 0.6238 0.1287
Mg: 0.6238 0.6238 0.6238
Rh: 0.2500 0.2500 0.2500

- ρ: 3.07 g/cm³
- Total moment: 0.000 μB/f.u.

***

<B>
The following is a PBE calculation of a geometry-optimized CaMg4Rh structure, from Alexandria via LeMat-Bulk.

a b c (Å): 8.9119 4.1916 7.4687
angles (deg): 90.00 90.00 90.00
Fractional positions:
Ca: 0.2500 0.0000 0.0929
Ca: 0.7500 0.0000 0.9071
Mg: 0.0000 0.0000 0.5000
Mg: 0.0699 0.5000 0.8010
Mg: 0.2500 0.5000 0.4584
Mg: 0.4301 0.5000 0.8010
Mg: 0.5000 0.0000 0.5000
Mg: 0.5699 0.5000 0.1990
Mg: 0.7500 0.5000 0.5416
Mg: 0.9301 0.5000 0.1990
Rh: 0.2500 0.0000 0.6957
Rh: 0.7500 0.0000 0.3043

- ρ: 2.86 g/cm³
- Total moment: 0.000 μB/f.u.

***

Most favorable first, least favorable last: <B>, <A>